WBr3: relaxed, PBEsol.

Cell lengths 3.1072, 3.1072, 8.8030 Å; angles 90.00, 90.00, 90.00 degrees
Space group P4/mmm (No. 123)
One atom of each set of equivalent atoms:
W 0.0000 0.0000 0.0000 x1
Br 0.0000 0.0000 0.5000 x1
Br 0.5000 0.5000 0.1791 x2

Values from the calculation:
formation energy from raw total energies: 143 kJ/mol of formula units
Fermi-level density of states: 2.71 states/eV/cell